--- 1 ---
Entry from the Alexandria database: a relaxed LiCeTm2 crystal (PBE).

Unit cell a=3.5549 b=3.5549 c=8.4954 alpha=90.00 beta=90.00 gamma=90.00
Closest atoms and distances in Å follow each position.
Space group P4/mmm (No. 123)
Inequivalent atoms, fractional coordinates:
Li1 0.0000 0.0000 0.0000 x1  8 Tm 3.18, 4 Li 3.55
Ce1 0.0000 0.0000 0.5000 x1  8 Tm 3.41, 4 Ce 3.55
Tm1 0.5000 0.5000 0.2286 x2  4 Li 3.18, 4 Ce 3.41, 4 Tm 3.55

Calculated values
Its density of states at the Fermi level is 6.432 states/eV/f.u.

--- 2 ---
Entry from the Alexandria database: a relaxed LiCeTm2 crystal (PBE).

Unit cell a=3.3865 b=3.3865 c=33.5710 alpha=90.00 beta=90.00 gamma=120.00
Closest atoms and distances in Å follow each position.
Space group R3m (No. 160, hexagonal axes)
Inequivalent atoms, fractional coordinates:
Li1 0.0000 0.0000 0.0000 x3  6 Tm 3.35-3.36, 6 Li 3.39
Ce1 0.0000 0.0000 0.1663 x3  6 Ce 3.39, 6 Tm 3.47-3.48
Tm1 0.0000 0.0000 0.4142 x3  3 Li 3.35, 6 Tm 3.39, 3 Ce 3.47
Tm2 0.0000 0.0000 0.5853 x3  3 Li 3.36, 6 Tm 3.39, 3 Ce 3.48

Calculated values
Its density of states at the Fermi level is 6.685 states/eV/f.u.

Stability, lowest: 2

--- 1 ---
Entry from the Alexandria database: a relaxed LiCe2Y crystal (PBE).

Unit cell a=3.2932 b=3.2932 c=10.3779 alpha=90.00 beta=90.00 gamma=90.00
Closest atoms and distances in Å follow each position.
Space group P4/mmm (No. 123)
Inequivalent atoms, fractional coordinates:
Li1 0.0000 0.0000 0.0000 x1  4 Li 3.29, 8 Ce 3.40
Ce1 0.5000 0.5000 0.2390 x2  4 Ce 3.29, 4 Li 3.40, 4 Y 3.57
Y1 0.0000 0.0000 0.5000 x1  4 Y 3.29, 8 Ce 3.57

Calculated values
Its density of states at the Fermi level is 11.210 states/eV/f.u.

--- 2 ---
Entry from the Alexandria database: a relaxed LiCe2Y crystal (PBE).

Unit cell a=3.2834 b=3.2834 c=37.2058 alpha=90.00 beta=90.00 gamma=120.00
Closest atoms and distances in Å follow each position.
Space group R-3m (No. 166, hexagonal axes)
Inequivalent atoms, fractional coordinates:
Li1 0.0000 0.0000 0.0000 x3  2 Ce 3.22, 6 Li 3.28
Ce1 0.0000 0.0000 0.0865 x6  1 Li 3.22, 6 Ce 3.28, 3 Y 3.53
Y1 0.0000 0.0000 0.5000 x3  6 Y 3.28, 6 Ce 3.53

Calculated values
Its density of states at the Fermi level is 10.231 states/eV/f.u.

Stability, lowest: 2

--- 1 ---
Entry from the Alexandria database: a relaxed LiCeY2 crystal (PBE).

Unit cell a=3.6067 b=3.6067 c=8.6387 alpha=90.00 beta=90.00 gamma=90.00
Closest atoms and distances in Å follow each position.
Space group P4/mmm (No. 123)
Inequivalent atoms, fractional coordinates:
Li1 0.0000 0.0000 0.0000 x1  8 Y 3.23, 4 Li 3.61
Ce1 0.0000 0.0000 0.5000 x1  8 Y 3.46, 4 Ce 3.61
Y1 0.5000 0.5000 0.2289 x2  4 Li 3.23, 4 Ce 3.46, 4 Y 3.61

Calculated values
Its density of states at the Fermi level is 7.096 states/eV/f.u.

--- 2 ---
Entry from the Alexandria database: a relaxed LiCeY2 crystal (PBE).

Unit cell a=3.4613 b=3.4613 c=33.8950 alpha=90.00 beta=90.00 gamma=120.00
Closest atoms and distances in Å follow each position.
Space group R3m (No. 160, hexagonal axes)
Inequivalent atoms, fractional coordinates:
Li1 0.0000 0.0000 0.0000 x3  6 Y 3.39-3.40, 6 Li 3.46
Ce1 0.0000 0.0000 0.8337 x3  6 Ce 3.46, 6 Y 3.52-3.53
Y1 0.0000 0.0000 0.4145 x3  3 Li 3.40, 6 Y 3.46, 3 Ce 3.53
Y2 0.0000 0.0000 0.5860 x3  3 Li 3.39, 6 Y 3.46, 3 Ce 3.52

Calculated values
Its density of states at the Fermi level is 6.907 states/eV/f.u.

Stability, lowest: 2

--- 1 ---
Entry from the Alexandria database: a relaxed LiCeY2 crystal (PBE).

Unit cell a=3.3059 b=3.3059 c=35.9221 alpha=90.00 beta=90.00 gamma=120.00
Closest atoms and distances in Å follow each position.
Space group R-3m (No. 166, hexagonal axes)
Inequivalent atoms, fractional coordinates:
Li1 0.0000 0.0000 0.0000 x3  6 Li 3.31, 6 Y 3.35
Ce1 0.0000 0.0000 0.5000 x3  2 Y 3.24, 6 Ce 3.31
Y1 0.0000 0.0000 0.4099 x6  1 Ce 3.24, 6 Y 3.31, 3 Li 3.35

Calculated values
Its density of states at the Fermi level is 6.521 states/eV/f.u.

--- 2 ---
Entry from the Alexandria database: a relaxed LiCeY2 crystal (PBE).

Unit cell a=5.6079 b=5.6079 c=3.6173 alpha=90.00 beta=90.00 gamma=90.00
Closest atoms and distances in Å follow each position.
Space group P4/mmm (No. 123)
Inequivalent atoms, fractional coordinates:
Li1 0.0000 0.0000 0.0000 x1  8 Y 3.34, 2 Li 3.62
Ce1 0.5000 0.5000 0.0000 x1  8 Y 3.34, 2 Ce 3.62
Y1 0.0000 0.5000 0.5000 x2  4 Ce 3.34, 4 Li 3.34, 2 Y 3.62

Calculated values
Its density of states at the Fermi level is 8.673 states/eV/f.u.

Stability, lowest: 1

--- 1 ---
Entry from the Alexandria database: a relaxed LiCe2Zn crystal (PBE).

Unit cell a=3.8524 b=3.8524 c=6.7844 alpha=90.00 beta=90.00 gamma=90.00
Closest atoms and distances in Å follow each position.
Space group P4/mmm (No. 123)
Inequivalent atoms, fractional coordinates:
Li1 0.0000 0.0000 0.0000 x1  8 Ce 3.36, 2 Zn 3.39
Ce1 0.5000 0.5000 0.2901 x2  1 Ce 2.85, 4 Zn 3.07
Zn1 0.0000 0.0000 0.5000 x1  8 Ce 3.07, 2 Li 3.39

Calculated values
Its density of states at the Fermi level is 10.611 states/eV/f.u.

--- 2 ---
Entry from the Alexandria database: a relaxed LiCe2Zn crystal (PBE).

Unit cell a=3.0119 b=3.0119 c=34.9661 alpha=90.00 beta=90.00 gamma=120.00
Closest atoms and distances in Å follow each position.
Space group R-3m (No. 166, hexagonal axes)
Inequivalent atoms, fractional coordinates:
Li1 0.0000 0.0000 0.0000 x3  6 Li 3.01, 2 Ce 3.18
Ce1 0.0000 0.0000 0.0908 x6  6 Ce 3.01, 3 Zn 3.17, 1 Li 3.18
Zn1 0.0000 0.0000 0.5000 x3  6 Zn 3.01, 6 Ce 3.17

Calculated values
Its density of states at the Fermi level is 7.857 states/eV/f.u.

--- 3 ---
Entry from the Alexandria database: a relaxed LiCe2Zn crystal (PBE).

Unit cell a=7.2576 b=7.2576 c=7.2576 alpha=90.00 beta=90.00 gamma=90.00
Closest atoms and distances in Å follow each position.
Space group Fm-3m (No. 225)
Inequivalent atoms, fractional coordinates:
Li1 0.0000 0.0000 0.0000 x4  8 Ce 3.14
Ce1 0.2500 0.2500 0.2500 x8  4 Zn 3.14, 4 Li 3.14
Zn1 0.0000 0.0000 0.5000 x4  8 Ce 3.14

Calculated values
Its density of states at the Fermi level is 11.730 states/eV/f.u.

--- 4 ---
Entry from the Alexandria database: a relaxed LiCe2Zn crystal (PBE).

Unit cell a=4.3188 b=4.3188 c=4.6841 alpha=90.00 beta=90.00 gamma=90.00
Closest atoms and distances in Å follow each position.
Space group P4/mmm (No. 123)
Inequivalent atoms, fractional coordinates:
Li1 0.0000 0.0000 0.0000 x1  4 Zn 3.05, 8 Ce 3.19
Ce1 0.0000 0.5000 0.5000 x2  4 Ce 3.05, 4 Zn 3.19, 4 Li 3.19
Zn1 0.5000 0.5000 0.0000 x1  4 Li 3.05, 8 Ce 3.19

Calculated values
Its density of states at the Fermi level is 9.349 states/eV/f.u.

Stability, lowest: 2

--- 1 ---
Entry from the Alexandria database: a relaxed Li2CeZn crystal (PBE).

Unit cell a=2.9329 b=2.9329 c=31.6314 alpha=90.00 beta=90.00 gamma=120.00
Closest atoms and distances in Å follow each position.
Space group R-3m (No. 166, hexagonal axes)
Inequivalent atoms, fractional coordinates:
Li1 0.0000 0.0000 0.0969 x6  3 Zn 2.78, 6 Li 2.93, 1 Ce 3.07
Ce1 0.0000 0.0000 0.0000 x3  6 Ce 2.93, 2 Li 3.07
Zn1 0.0000 0.0000 0.5000 x3  6 Li 2.78, 6 Zn 2.93

Calculated values
Its density of states at the Fermi level is 4.529 states/eV/f.u.

--- 2 ---
Entry from the Alexandria database: a relaxed Li2CeZn crystal (PBE).

Unit cell a=2.8772 b=2.8772 c=9.2139 alpha=90.00 beta=90.00 gamma=90.00
Closest atoms and distances in Å follow each position.
Space group P4/mmm (No. 123)
Inequivalent atoms, fractional coordinates:
Li1 0.0000 0.0000 0.1971 x2  4 Zn 2.73, 4 Li 2.88
Ce1 0.5000 0.5000 0.5000 x1  4 Ce 2.88
Zn1 0.5000 0.5000 0.0000 x1  8 Li 2.73, 4 Zn 2.88

Calculated values
Its density of states at the Fermi level is 4.664 states/eV/f.u.

Stability, lowest: 1

--- 1 ---
Entry from the Alexandria database: a relaxed Li2CeZn9 crystal (PBE).

Unit cell a=5.2641 b=5.2641 c=25.4251 alpha=90.00 beta=90.00 gamma=120.00
Closest atoms and distances in Å follow each position.
Space group R-3m (No. 166, hexagonal axes)
Inequivalent atoms, fractional coordinates:
Li1 0.0000 0.0000 0.1425 x6  12 Zn 2.99-3.10, 3 Li 3.28
Ce1 0.0000 0.0000 0.0000 x3  6 Zn 3.04
Zn1 0.0000 0.0000 0.3342 x6  6 Zn 2.67-2.68
Zn2 0.0000 0.0000 0.5000 x3  6 Zn 2.56
Zn3 0.0061 0.5030 0.9134 x18  7 Zn 2.56-2.68

Calculated values
Its density of states at the Fermi level is 9.747 states/eV/f.u.

--- 2 ---
Entry from the Alexandria database: a relaxed Li2CeZn9 crystal (PBE).

Unit cell a=7.9096 b=7.9096 c=3.6874 alpha=90.00 beta=90.00 gamma=120.00
Closest atoms and distances in Å follow each position.
Space group P6/mmm (No. 191)
Inequivalent atoms, fractional coordinates:
Li1 0.3333 0.6667 0.0000 x2  3 Zn 2.28
Ce1 0.0000 0.0000 0.0000 x1  12 Zn 3.27
Zn1 0.0000 0.5000 0.0000 x3  2 Li 2.28
Zn2 0.1971 0.3942 0.5000 x6  2 Li 2.62, 6 Zn 2.70-2.80

Calculated values
Its density of states at the Fermi level is 6.860 states/eV/f.u.

Stability, lowest: 2

--- 1 ---
Entry from the Alexandria database: a relaxed Ce2Lu crystal (PBE).

Unit cell a=3.4153 b=3.4153 c=14.5029 alpha=90.00 beta=90.00 gamma=90.00
Closest atoms and distances in Å follow each position.
Space group I4/mmm (No. 139)
Inequivalent atoms, fractional coordinates:
Ce1 0.0000 0.0000 0.1716 x4  8 Ce 3.32-3.42, 4 Lu 3.47
Lu1 0.0000 0.0000 0.5000 x2  4 Lu 3.42, 8 Ce 3.47

Calculated values
Its density of states at the Fermi level is 6.758 states/eV/f.u.

--- 2 ---
Entry from the Alexandria database: a relaxed Ce2Lu crystal (PBE).

Unit cell a=8.8572 b=8.8572 c=8.8572 alpha=90.00 beta=90.00 gamma=90.00
Closest atoms and distances in Å follow each position.
Space group Fd-3m (No. 227, origin choice 2)
Inequivalent atoms, fractional coordinates:
Ce1 0.0000 0.0000 0.0000 x16  6 Ce 3.13
Lu1 0.1250 0.1250 0.6250 x8  12 Ce 3.67, 4 Lu 3.84

Calculated values
Its density of states at the Fermi level is 9.299 states/eV/f.u.

Stability, lowest: 2